{"formula": "Cr2PdF", "functional": "SCAN", "state": "single point on PBEsol structure", "lattice": [[-2.320, -3.310, 1.490], [1.458, -2.334, 3.314], [-1.927, 0.277, 3.843]], "species": ["Cr", "Cr", "Pd", "F"], "frac_coords": [[0.250, 0.250, 0.250], [0.750, 0.750, 0.750], [0.500, 0.500, 0.500], [0.000, 0.000, 0.000]], "raw_formation_energy_mev_per_atom": -244, "sg": "Fm-3m, No. 225"}

***

{"formula": "SrSnPdN2", "functional": "SCAN", "state": "single point on PBEsol structure", "lattice": [[-2.808, 3.033, 0.890], [-0.335, -1.470, 3.950], [3.866, 3.139, 1.496]], "species": ["Sr", "Sn", "Pd", "N", "N"], "frac_coords": [[0.000, 0.000, 0.500], [0.500, 0.500, 0.500], [0.000, 0.000, 0.000], [0.000, 0.500, 0.000], [0.500, 0.000, 0.000]], "raw_formation_energy_mev_per_atom": 1209, "sg": "P4/mmm, No. 123"}

***

{"formula": "MgAg2W", "functional": "SCAN", "state": "single point on PBEsol structure", "lattice": [[-2.359, -0.658, 1.232], [0.806, -4.771, -1.006], [3.176, 2.208, 4.210]], "species": ["Ag", "Ag", "Mg", "W"], "frac_coords": [[0.003, 0.003, 0.007], [0.748, 0.248, 0.497], [0.494, 0.494, 0.988], [0.254, 0.754, 0.509]], "dft_energy_ev_per_cell": -135.22, "sg": "Imm2, No. 44"}

***

{"formula": "BeInCu2", "functional": "SCAN", "state": "single point on PBEsol structure", "lattice": [[-3.294, 0.803, 2.460], [-3.798, -1.418, -1.055], [-1.769, -3.090, 2.207]], "species": ["Be", "Cu", "Cu", "In"], "frac_coords": [[0.500, 0.500, 0.500], [0.000, 0.000, 0.000], [0.250, 0.250, 0.250], [0.750, 0.750, 0.750]], "polymorph_energy_mev_per_atom": 14.0, "sg": "F-43m, No. 216"}

***

{"formula": "ScRuPt2", "functional": "SCAN", "state": "single point on PBEsol structure", "lattice": [[2.794, 0.000, 0.000], [0.000, 2.794, 0.000], [0.000, 0.000, 7.910]], "species": ["Pt", "Pt", "Ru", "Sc"], "frac_coords": [[0.000, 0.000, 0.001], [0.500, 0.500, 0.261], [0.000, 0.000, 0.489], [0.500, 0.500, 0.749]], "dft_energy_ev_per_cell": -191.15, "sg": "P4mm, No. 99"}

***

{"formula": "P2IrS2", "functional": "SCAN", "state": "single point on PBEsol structure", "lattice": [[-1.563, 1.893, -3.718], [2.951, -2.305, -2.414], [-3.193, -3.583, -0.482]], "species": ["P", "P", "S", "S", "Ir"], "frac_coords": [[0.000, 0.500, 0.000], [0.500, 0.000, 0.000], [0.500, 0.500, 0.500], [0.000, 0.000, 0.500], [0.000, 0.000, 0.000]], "polymorph_energy_mev_per_atom": 0.0, "raw_formation_energy_mev_per_atom": 898, "sg": "P4/mmm, No. 123"}

***

{"formula": "MgBe2Hg2", "functional": "SCAN", "state": "single point on PBEsol structure", "lattice": [[3.572, 0.000, 0.000], [0.000, 3.572, 0.000], [-1.786, -1.786, 6.321]], "species": ["Be", "Be", "Mg", "Hg", "Hg"], "frac_coords": [[0.250, 0.750, 0.500], [0.750, 0.250, 0.500], [0.000, 0.000, 0.000], [0.384, 0.384, 0.768], [0.616, 0.616, 0.232]], "dft_energy_ev_per_cell": -149.75, "sg": "I4/mmm, No. 139"}

***

{"formula": "ScCd2In", "functional": "SCAN", "state": "single point on PBEsol structure", "lattice": [[3.342, 0.000, 0.000], [0.000, 5.160, -0.044], [-1.671, -1.098, 5.033]], "species": ["Cd", "Cd", "In", "Sc"], "frac_coords": [[0.248, 0.245, 0.496], [0.752, 0.755, 0.504], [0.000, 0.500, 0.000], [0.500, 0.000, 0.000]], "dft_energy_ev_per_cell": -109.34, "sg": "C2/m, No. 12"}